No. 1
Below is a geometry-optimized Sr2Ir2Pb structure, with properties calculated at the PBE level.

Computed properties:
theoretical density = 9.1 g/cm3
space-group type = I4/mmm, No. 139
calculated formation energy = 458 meV/atom
total energy = -4.50 eV per atom
calculated volume = 140.6 Å³/f.u.

Unit cell a=4.7847 b=4.7847 c=12.2830 alpha=90.00 beta=90.00 gamma=90.00
Closest atoms and distances in Å follow each position.
Atoms (fractional coordinates):
Sr1 0.0000 0.5000 0.2500  4 Ir 3.03, 4 Sr 3.38
Sr2 0.0000 0.5000 0.7500  4 Ir 3.03, 4 Sr 3.38
Sr3 0.5000 0.0000 0.2500  4 Ir 3.03, 4 Sr 3.38
Sr4 0.5000 0.0000 0.7500  4 Ir 3.03, 4 Sr 3.38
Ir1 0.0000 0.0000 0.0990  1 Ir 2.43
Ir2 0.0000 0.0000 0.9010  1 Ir 2.43
Ir3 0.5000 0.5000 0.4010  1 Ir 2.43
Ir4 0.5000 0.5000 0.5990  1 Ir 2.43
Pb1 0.0000 0.0000 0.5000  8 Ir 3.60, 8 Sr 3.89
Pb2 0.5000 0.5000 0.0000  8 Ir 3.60, 8 Sr 3.89

=====

No. 2
Below is a geometry-optimized SrIrPb structure, with properties calculated at the PBE level.

Computed properties:
theoretical density = 9.7 g/cm3
space-group type = F-43m, No. 216
calculated formation energy = -65 meV/atom
total energy = -4.82 eV per atom
calculated volume = 83.3 Å³/f.u.

Unit cell a=6.9320 b=6.9320 c=6.9320 alpha=90.00 beta=90.00 gamma=90.00
Closest atoms and distances in Å follow each position.
Atoms (fractional coordinates):
Sr1 0.0000 0.0000 0.0000  4 Ir 3.00
Sr2 0.0000 0.5000 0.5000  4 Ir 3.00
Sr3 0.5000 0.0000 0.5000  4 Ir 3.00
Sr4 0.5000 0.5000 0.0000  4 Ir 3.00
Ir1 0.2500 0.2500 0.2500  4 Pb 3.00, 4 Sr 3.00
Ir2 0.2500 0.7500 0.7500  4 Pb 3.00, 4 Sr 3.00
Ir3 0.7500 0.2500 0.7500  4 Pb 3.00, 4 Sr 3.00
Ir4 0.7500 0.7500 0.2500  4 Pb 3.00, 4 Sr 3.00
Pb1 0.0000 0.0000 0.5000  4 Ir 3.00
Pb2 0.0000 0.5000 0.0000  4 Ir 3.00
Pb3 0.5000 0.0000 0.0000  4 Ir 3.00
Pb4 0.5000 0.5000 0.5000  4 Ir 3.00

=====

No. 3
Below is a geometry-optimized SrIrPb structure, with properties calculated at the PBE level.

Computed properties:
theoretical density = 10.6 g/cm3
space-group type = Imm2, No. 44
calculated formation energy = -52 meV/atom
total energy = -4.80 eV per atom
calculated volume = 76.2 Å³/f.u.

Unit cell a=3.5262 b=3.6761 c=11.7643 alpha=90.00 beta=90.00 gamma=90.00
Closest atoms and distances in Å follow each position.
Atoms (fractional coordinates):
Sr1 0.0000 0.0000 0.0000  4 Ir 3.27, 5 Pb 3.33-3.60, 2 Sr 3.53
Sr2 0.5000 0.5000 0.5000  4 Ir 3.27, 5 Pb 3.33-3.60, 2 Sr 3.53
Ir1 0.0000 0.0000 0.6743  4 Pb 2.85
Ir2 0.5000 0.5000 0.1743  4 Pb 2.85
Pb1 0.0000 0.0000 0.2832  4 Ir 2.85
Pb2 0.5000 0.5000 0.7832  4 Ir 2.85

=====

Question: Which formula does entry 2 have?
Answer: SrIrPb

=====

Please write out number 1 again, unchanged.
Below is a geometry-optimized Sr2Ir2Pb structure, with properties calculated at the PBE level.

Computed properties:
theoretical density = 9.1 g/cm3
space-group type = I4/mmm, No. 139
calculated formation energy = 458 meV/atom
total energy = -4.50 eV per atom
calculated volume = 140.6 Å³/f.u.

Unit cell a=4.7847 b=4.7847 c=12.2830 alpha=90.00 beta=90.00 gamma=90.00
Closest atoms and distances in Å follow each position.
Atoms (fractional coordinates):
Sr1 0.0000 0.5000 0.2500  4 Ir 3.03, 4 Sr 3.38
Sr2 0.0000 0.5000 0.7500  4 Ir 3.03, 4 Sr 3.38
Sr3 0.5000 0.0000 0.2500  4 Ir 3.03, 4 Sr 3.38
Sr4 0.5000 0.0000 0.7500  4 Ir 3.03, 4 Sr 3.38
Ir1 0.0000 0.0000 0.0990  1 Ir 2.43
Ir2 0.0000 0.0000 0.9010  1 Ir 2.43
Ir3 0.5000 0.5000 0.4010  1 Ir 2.43
Ir4 0.5000 0.5000 0.5990  1 Ir 2.43
Pb1 0.0000 0.0000 0.5000  8 Ir 3.60, 8 Sr 3.89
Pb2 0.5000 0.5000 0.0000  8 Ir 3.60, 8 Sr 3.89

=====

Question: calculated volume of number 1 (Sr2Ir2Pb)?
Answer: 140.6 Å³/f.u.